Record 1
Material: TbPmY2
Method: DFT, GGA-PBE
State: relaxed Values from VASP.

Cell and atoms, written as Quantum ESPRESSO input:
```
&SYSTEM
  ibrav = 0, nat = 4, ntyp = 3
/
ATOMIC_SPECIES
Tb 158.93 Tb.upf
Pm 145.00 Pm.upf
Y 88.91 Y.upf
CELL_PARAMETERS angstrom
3.588 0.000 0.000
0.000 3.588 0.000
0.000 0.000 10.157
ATOMIC_POSITIONS crystal
Tb 0.000 0.000 0.000
Pm 0.000 0.000 0.500
Y 0.500 0.500 0.247
Y 0.500 0.500 0.753
```

## Properties
As for the energy above the lowest structure with this stoichiometry: 9 meV per atom. Its magnetization is 0.000 Bohr magnetons per cell. Its space group is No. 123. The density of states at the Fermi level comes out at 5.62 states/eV/f.u. The calculated formation energy is 0.020 eV per atom.

---

Record 2
Material: NpPdRu
Method: DFT, GGA-PBE
State: relaxed Values from VASP.

Cell and atoms, written as Quantum ESPRESSO input:
```
&SYSTEM
  ibrav = 0, nat = 6, ntyp = 3
/
ATOMIC_SPECIES
Np 237.00 Np.upf
Pd 106.42 Pd.upf
Ru 101.07 Ru.upf
CELL_PARAMETERS angstrom
1.592 -9.554 0.000
1.592 9.554 0.000
0.000 0.000 3.389
ATOMIC_POSITIONS crystal
Np 0.207 0.793 0.750
Np 0.793 0.207 0.250
Pd 0.054 0.946 0.750
Pd 0.946 0.054 0.250
Ru 0.364 0.636 0.750
Ru 0.636 0.364 0.250
```

## Properties
As for the energy above the lowest structure with this stoichiometry: 0 meV per atom. Its magnetization is 0.008 Bohr magnetons per cell. Its space group is No. 63. The density of states at the Fermi level comes out at 4.31 states/eV/f.u. The calculated formation energy is 0.144 eV per atom.

---

Repeat the first record exactly.
Material: TbPmY2
Method: DFT, GGA-PBE
State: relaxed Values from VASP.

Cell and atoms, written as Quantum ESPRESSO input:
```
&SYSTEM
  ibrav = 0, nat = 4, ntyp = 3
/
ATOMIC_SPECIES
Tb 158.93 Tb.upf
Pm 145.00 Pm.upf
Y 88.91 Y.upf
CELL_PARAMETERS angstrom
3.588 0.000 0.000
0.000 3.588 0.000
0.000 0.000 10.157
ATOMIC_POSITIONS crystal
Tb 0.000 0.000 0.000
Pm 0.000 0.000 0.500
Y 0.500 0.500 0.247
Y 0.500 0.500 0.753
```

## Properties
As for the energy above the lowest structure with this stoichiometry: 9 meV per atom. Its magnetization is 0.000 Bohr magnetons per cell. Its space group is No. 123. The density of states at the Fermi level comes out at 5.62 states/eV/f.u. The calculated formation energy is 0.020 eV per atom.

---

Question: Which formula does entry 1 have?
Answer: TbPmY2

---

Question: magnetization of number 1 (TbPmY2)?
Answer: 0.000 Bohr magnetons per cell

---

Question: The lowest energy above the lowest structure with this stoichiometry belongs to which entry?
Answer: NpPdRu